# TaHgS2 PBE relaxed
# * energy relative to the elements, uncorrected: -0.812 eV/atom
# * final energy: -0.2174 Ha/atom
# * space-group type: No. 1
# * N(E_F): 3.61 states/eV per cell
data_TaHgS2
_chemical_formula_sum 'Ta2 Hg2 S4'
_cell_length_a 3.348
_cell_length_b 5.781
_cell_length_c 10.039
_cell_angle_alpha 73.51
_cell_angle_beta 81.89
_cell_angle_gamma 90.00
_symmetry_space_group_name_H-M 'P 1'
_symmetry_Int_Tables_number 1
loop_
_symmetry_equiv_pos_as_xyz
'x,y,z'
loop_
_atom_site_label
_atom_site_type_symbol
_atom_site_fract_x
_atom_site_fract_y
_atom_site_fract_z
_atom_site_occupancy
Ta1 Ta 0.000 0.000 0.000 1
Ta2 Ta 0.500 0.494 0.000 1
Hg1 Hg 0.000 0.950 0.501 1
Hg2 Hg 0.983 0.451 0.499 1
S1 S 0.069 0.744 0.837 1
S2 S 0.431 0.082 0.165 1
S3 S 0.569 0.244 0.835 1
S4 S 0.931 0.584 0.163 1

# TaHgS2 PBE relaxed
# * energy relative to the elements, uncorrected: -0.795 eV/atom
# * final energy: -0.2167 Ha/atom
# * space-group type: No. 1
# * N(E_F): 2.32 states/eV per cell
data_TaHgS2
_chemical_formula_sum 'Ta1 Hg1 S2'
_cell_length_a 3.325
_cell_length_b 3.335
_cell_length_c 9.488
_cell_angle_alpha 89.74
_cell_angle_beta 89.98
_cell_angle_gamma 60.14
_symmetry_space_group_name_H-M 'P 1'
_symmetry_Int_Tables_number 1
loop_
_symmetry_equiv_pos_as_xyz
'x,y,z'
loop_
_atom_site_label
_atom_site_type_symbol
_atom_site_fract_x
_atom_site_fract_y
_atom_site_fract_z
_atom_site_occupancy
Ta1 Ta 0.000 0.000 0.000 1
Hg1 Hg 0.636 0.759 0.501 1
S1 S 0.332 0.336 0.835 1
S2 S 0.334 0.331 0.165 1

# TaHgS2 PBE relaxed
# * energy relative to the elements, uncorrected: -0.589 eV/atom
# * final energy: -0.2091 Ha/atom
# * space-group type: No. 62
# * N(E_F): 5.04 states/eV per cell
data_TaHgS2
_chemical_formula_sum 'Ta4 Hg4 S8'
_cell_length_a 9.432
_cell_length_b 3.293
_cell_length_c 13.640
_cell_angle_alpha 90.00
_cell_angle_beta 90.00
_cell_angle_gamma 90.00
_symmetry_space_group_name_H-M 'P 1'
_symmetry_Int_Tables_number 1
loop_
_symmetry_equiv_pos_as_xyz
'x,y,z'
loop_
_atom_site_label
_atom_site_type_symbol
_atom_site_fract_x
_atom_site_fract_y
_atom_site_fract_z
_atom_site_occupancy
Ta1 Ta 0.031 0.250 0.088 1
Ta2 Ta 0.469 0.750 0.588 1
Ta3 Ta 0.531 0.250 0.412 1
Ta4 Ta 0.969 0.750 0.912 1
Hg1 Hg 0.038 0.250 0.607 1
Hg2 Hg 0.462 0.750 0.107 1
Hg3 Hg 0.538 0.250 0.893 1
Hg4 Hg 0.962 0.750 0.393 1
S1 S 0.148 0.750 0.191 1
S2 S 0.160 0.250 0.934 1
S3 S 0.340 0.750 0.434 1
S4 S 0.352 0.250 0.691 1
S5 S 0.648 0.750 0.309 1
S6 S 0.660 0.250 0.566 1
S7 S 0.840 0.750 0.066 1
S8 S 0.852 0.250 0.809 1

# TaHgS2 PBE relaxed
# * energy relative to the elements, uncorrected: -0.792 eV/atom
# * final energy: -0.2166 Ha/atom
# * space-group type: No. 160
# * N(E_F): 2.72 states/eV per cell
data_TaHgS2
_chemical_formula_sum 'Ta1 Hg1 S2'
_cell_length_a 9.949
_cell_length_b 9.949
_cell_length_c 9.949
_cell_angle_alpha 19.29
_cell_angle_beta 19.29
_cell_angle_gamma 19.29
_symmetry_space_group_name_H-M 'P 1'
_symmetry_Int_Tables_number 1
loop_
_symmetry_equiv_pos_as_xyz
'x,y,z'
loop_
_atom_site_label
_atom_site_type_symbol
_atom_site_fract_x
_atom_site_fract_y
_atom_site_fract_z
_atom_site_occupancy
Ta1 Ta 0.000 0.000 0.000 1
Hg1 Hg 0.835 0.835 0.835 1
S1 S 0.613 0.613 0.613 1
S2 S 0.720 0.720 0.720 1